MnCo4 | GGA-PBEsol | optimized geometry

Summary:
Crystal system ... tetragonal
DOS at the Fermi energy ... 4.58 states/eV/cell
Electronic total energy ... -7.69 eV/atom

a b c (Å): 3.4893 3.4893 5.5784
angles (deg): 108.23 108.23 90.00
Fractional positions:
Co 0.7500 0.2500 0.5000
Co 0.2500 0.7500 0.5000
Co 0.6059 0.6059 0.2118
Co 0.3941 0.3941 0.7882
Mn 0.0000 0.0000 0.0000